(1)
DFT (GGA-PBE) results for crystalline Ba4P12I at its relaxed geometry.

Structure (POSCAR):
```
Ba4P12I
1.0
8.372 0.000 -2.960
-4.186 7.250 -2.960
0.000 0.000 8.879
P Ba I
12 4 1
Direct
0.895 0.606 0.500
0.500 0.895 0.606
0.895 0.394 0.289
0.394 0.289 0.895
0.289 0.895 0.394
0.500 0.105 0.394
0.606 0.500 0.895
0.105 0.606 0.711
0.105 0.394 0.500
0.606 0.711 0.105
0.394 0.500 0.105
0.711 0.105 0.606
0.500 0.000 0.000
0.000 0.000 0.500
0.000 0.500 0.000
0.500 0.500 0.500
0.000 0.000 0.000
```

Values from the calculation:
Formation energy from raw total energies, eV/atom: -0.561
Calculated volume, Å³/cell: 539

---

(2)
DFT (GGA-PBE) results for crystalline Rh at its relaxed geometry.

Structure (POSCAR):
```
Rh
1.0
-3.379 -3.442 -0.851
3.330 -2.677 -2.393
1.217 -2.230 4.188
Rh
8
Direct
0.250 0.000 0.500
0.000 0.500 0.250
0.000 0.500 0.750
0.500 0.750 0.000
0.500 0.250 0.000
0.500 0.500 0.500
0.750 0.000 0.500
0.000 0.000 0.000
```

Values from the calculation:
Calculated volume, Å³/cell: 117
ΔE to the lowest computed polymorph, meV/atom: 298

---

(3)
DFT (GGA-PBE) results for crystalline Rb2Pu3RuO12 at its relaxed geometry.

Structure (POSCAR):
```
Rb2Pu3RuO12
1.0
7.513 -0.147 -0.104
3.583 6.605 -0.104
3.583 2.085 6.269
O Pu Rb Ru
12 3 2 1
Direct
0.322 0.322 0.940
0.060 0.678 0.678
0.060 0.696 0.060
0.696 0.060 0.060
0.304 0.940 0.940
0.678 0.060 0.678
0.940 0.940 0.304
0.940 0.322 0.322
0.322 0.940 0.322
0.060 0.060 0.696
0.678 0.678 0.060
0.940 0.304 0.940
0.000 0.000 0.500
0.000 0.500 0.000
0.500 0.000 0.000
0.369 0.369 0.369
0.631 0.631 0.631
0.000 0.000 0.000
```

Values from the calculation:
Formation energy from raw total energies, eV/atom: -2.178
Calculated volume, Å³/cell: 318

---

Total energy in eV per atom, matching the order above: -4.923, -7.054, -8.495
Mass density in g cm⁻³, matching the order above: 3.229, 11.635, 6.250